Here is a geometry-optimized GdHo2Bi structure from Alexandria via LeMat-Bulk. Energies are from GGA-PBE.

Cell: 11.0776 11.0776 11.0776 Å, 18.81 18.81 18.81°
Element x y z (fractional)
Gd (0.0000, 0.0000, 0.0000)
Ho (0.2462, 0.2462, 0.2462)
Ho (0.7538, 0.7538, 0.7538)
Bi (0.5000, 0.5000, 0.5000)

Summary:
M_tot (μB/atom): 1.8148
V (Å³ per cell): 123
Crystal system: trigonal
ΔE_f (eV/f.u.): -0.77
ΔE to the lowest computed polymorph (meV/atom): 162